4
Lattice="3.317 0.000 0.000 0.000 3.317 0.000 0.000 0.000 9.954" Properties=species:S:1:pos:R:3 comment="KSc2Cr (PBE, optimized geometry)" formation_enthalpy_0k_kcal_per_mol_atoms=8.44 mass_density_g_cm3=2.74 sg="No. 123" final_energy_ev_per_atom=-5.48 e_above_lowest_polymorph_mev_per_atom=0.0 m_tot_mub_per_fu=1.8 pbc="T T T"
K 0.000 0.000 0.000
Sc 1.659 1.659 3.424
Sc 1.659 1.659 6.529
Cr 0.000 0.000 4.977

***

6
Lattice="0.000 3.653 3.653 3.653 0.000 3.653 3.653 3.653 0.000" Properties=species:S:1:pos:R:3 comment="KScCr4 (PBE, optimized geometry)" formation_enthalpy_0k_kcal_per_mol_atoms=24.73 mass_density_g_cm3=4.97 sg="No. 216" final_energy_ev_per_atom=-6.58 m_tot_mub_per_fu=0.8 pbc="T T T"
K 0.000 0.000 0.000
Sc 5.480 5.480 5.480
Cr 2.724 2.724 2.724
Cr 4.583 4.583 2.724
Cr 4.583 2.724 4.583
Cr 2.724 4.583 4.583